VASP calculation (GGA+U) on a relaxed structure of Tm2PaCrO8.

Lattice parameters (Å, degrees): 6.9174 7.0276 6.6580 90.00 90.00 90.00
Space group Cmmm (No. 65)
Unique sites:
Tm  0.0000  0.0000  0.2425 [4 per cell]
Pa  0.0000  0.5000  0.5000 [2 per cell]
Cr  0.0000  0.5000  0.0000 [2 per cell]
O  0.0000  0.3155  0.2275 [8 per cell]
O  0.1931  0.0000  0.5000 [4 per cell]
O  0.2385  0.0000  0.0000 [4 per cell]

## Properties
Its magnetization is 1.96 μB/cell. The final energy is -200.19 eV for the cell shown.